The following is a DFT calculation (PBE+U) of a relaxed structure of CsMo2O6.

Results
The calculation puts the density of states at the Fermi level at 1.92 states/eV per cell. The value obtained for the polymorph energy (0 for the lowest one) is 22.0 meV/atom. The energy comes out at -6.65 eV/atom.

a = 14.584 Å, b = 10.435 Å, c = 5.636 Å
α = 90.00°, β = 100.95°, γ = 90.00°
Space group C2/c (No. 15)
Symmetry-distinct sites (fractional):
Cs (0.000, 0.179, 0.250) (multiplicity 4)
Mo (0.229, 0.110, 0.909) (multiplicity 8)
O (0.110, 0.100, 0.780) (multiplicity 8)
O (0.202, 0.245, 0.161) (multiplicity 8)
O (0.225, 0.499, 0.329) (multiplicity 8)